Record 1
## LiTlPb2 (PBE-GGA)

Data for a geometry-optimized LiTlPb2 structure.

magnetization	0.000	μB per atom
N(E_F)	3.46	states/eV/cell

Cell and atoms, written as CIF:
```
data_LiTlPb2
_space_group_name_H-M_alt 'I 4/m m m'
_space_group_IT_number 139
_space_group_name_Hall '-I 4 2'
_cell_length_a 4.7027
_cell_length_b 4.7027
_cell_length_c 10.0366
_cell_angle_alpha 90.00
_cell_angle_beta 90.00
_cell_angle_gamma 90.00
loop_
_atom_site_label
_atom_site_fract_x
_atom_site_fract_y
_atom_site_fract_z
Li1 0.0000 0.0000 0.0000
Tl1 0.0000 0.0000 0.5000
Pb1 0.0000 0.5000 0.2500
```

---

Record 2
## LiTlPb2 (PBE-GGA)

Data for a geometry-optimized LiTlPb2 structure.

magnetization	0.000	μB per atom
N(E_F)	1.60	states/eV/cell

Cell and atoms, written as CIF:
```
data_LiTlPb2
_space_group_name_H-M_alt 'P 1 2/m 1'
_space_group_IT_number 10
_cell_length_a 3.5132
_cell_length_b 4.6627
_cell_length_c 6.7924
_cell_angle_alpha 90.00
_cell_angle_beta 95.08
_cell_angle_gamma 90.00
loop_
_space_group_symop_operation_xyz
'x,y,z'
'-x,-y,-z'
'-x,y,-z'
'x,-y,z'
loop_
_atom_site_label
_atom_site_fract_x
_atom_site_fract_y
_atom_site_fract_z
Li1 0.0000 0.0000 0.0000
Tl1 0.0000 0.0000 0.5000
Pb1 0.4613 0.5000 0.2343
```

---

Record 3
## Li2TlPb (PBE-GGA)

Data for a geometry-optimized Li2TlPb structure.

excess energy over the best structure of this formula in the dataset	0.008	eV per atom
magnetization	0.000	μB per atom
N(E_F)	9.44	states/eV/cell

Cell and atoms, written as CIF:
```
data_Li2TlPb
_space_group_name_H-M_alt 'F m -3 m'
_space_group_IT_number 225
_space_group_name_Hall '-F 4 2 3'
_cell_length_a 7.0323
_cell_length_b 7.0323
_cell_length_c 7.0323
_cell_angle_alpha 90.00
_cell_angle_beta 90.00
_cell_angle_gamma 90.00
loop_
_atom_site_label
_atom_site_fract_x
_atom_site_fract_y
_atom_site_fract_z
Li1 0.2500 0.2500 0.2500
Tl1 0.0000 0.0000 0.0000
Pb1 0.0000 0.0000 0.5000
```

---

Record 4
## LiTl12Pb6 (PBE-GGA)

Data for a geometry-optimized LiTl12Pb6 structure.

magnetization	0.000	μB per atom
N(E_F)	26.80	states/eV/cell

Cell and atoms, written as CIF:
```
data_LiTl12Pb6
_space_group_name_H-M_alt 'R -3'
_space_group_IT_number 148
_space_group_name_Hall '-R 3'
_cell_length_a 11.9095
_cell_length_b 11.9095
_cell_length_c 14.5042
_cell_angle_alpha 90.00
_cell_angle_beta 90.00
_cell_angle_gamma 120.00
loop_
_atom_site_label
_atom_site_fract_x
_atom_site_fract_y
_atom_site_fract_z
Li1 0.0000 0.0000 0.0000
Tl1 0.0418 0.1814 0.8118
Tl2 0.0663 0.8438 0.4144
Pb1 0.0392 0.4451 0.7057
```

---

Record 5
## Li4TlPb2 (PBE-GGA)

Data for a geometry-optimized Li4TlPb2 structure.

excess energy over the best structure of this formula in the dataset	0.106	eV per atom
magnetization	0.000	μB per atom
N(E_F)	4.86	states/eV/cell

Cell and atoms, written as CIF:
```
data_Li4TlPb2
_space_group_name_H-M_alt 'C m m m'
_space_group_IT_number 65
_space_group_name_Hall '-C 2 2'
_cell_length_a 5.5700
_cell_length_b 11.9249
_cell_length_c 5.0280
_cell_angle_alpha 90.00
_cell_angle_beta 90.00
_cell_angle_gamma 90.00
loop_
_atom_site_label
_atom_site_fract_x
_atom_site_fract_y
_atom_site_fract_z
Li1 0.0000 0.1304 0.0000
Li2 0.0000 0.2577 0.5000
Tl1 0.0000 0.0000 0.5000
Pb1 0.0000 0.3746 0.0000
```

---

Record 6
## Li3TlPb3 (PBE-GGA)

Data for a geometry-optimized Li3TlPb3 structure.

excess energy over the best structure of this formula in the dataset	0.000	eV per atom
magnetization	0.000	μB per atom
N(E_F)	7.64	states/eV/cell

Cell and atoms, written as CIF:
```
data_Li3TlPb3
_space_group_name_H-M_alt 'P 21 3'
_space_group_IT_number 198
_space_group_name_Hall 'P 2ac 2ab 3'
_cell_length_a 8.8180
_cell_length_b 8.8180
_cell_length_c 8.8180
_cell_angle_alpha 90.00
_cell_angle_beta 90.00
_cell_angle_gamma 90.00
loop_
_atom_site_label
_atom_site_fract_x
_atom_site_fract_y
_atom_site_fract_z
Li1 0.0554 0.2580 0.8555
Tl1 0.0536 0.4464 0.5536
Pb1 0.0925 0.5925 0.9075
Pb2 0.1294 0.8706 0.3706
Pb3 0.1875 0.1875 0.1875
```

---

Record 7
## Li2TlPb (PBE-GGA)

Data for a geometry-optimized Li2TlPb structure.

excess energy over the best structure of this formula in the dataset	0.047	eV per atom
magnetization	0.000	μB per atom
N(E_F)	2.63	states/eV/cell

Cell and atoms, written as CIF:
```
data_Li2TlPb
_space_group_name_H-M_alt 'I m m 2'
_space_group_IT_number 44
_cell_length_a 3.7351
_cell_length_b 4.7069
_cell_length_c 10.3511
_cell_angle_alpha 90.00
_cell_angle_beta 90.00
_cell_angle_gamma 90.00
loop_
_space_group_symop_operation_xyz
'x,y,z'
'-x,-y,z'
'-x,y,z'
'x,-y,z'
'x+1/2,y+1/2,z+1/2'
'-x+1/2,-y+1/2,z+1/2'
'-x+1/2,y+1/2,z+1/2'
'x+1/2,-y+1/2,z+1/2'
loop_
_atom_site_label
_atom_site_fract_x
_atom_site_fract_y
_atom_site_fract_z
Li1 0.0000 0.0000 0.0000
Li2 0.0000 0.5000 0.2576
Tl1 0.0000 0.0000 0.5163
Pb1 0.0000 0.5000 0.7531
```

---

Record 8
## LiTlPb2 (PBE-GGA)

Data for a geometry-optimized LiTlPb2 structure.

magnetization	0.000	μB per atom
N(E_F)	3.67	states/eV/cell

Cell and atoms, written as CIF:
```
data_LiTlPb2
_space_group_name_H-M_alt 'C 1 2/m 1'
_space_group_IT_number 12
_cell_length_a 11.1851
_cell_length_b 3.5432
_cell_length_c 5.7639
_cell_angle_alpha 90.00
_cell_angle_beta 103.27
_cell_angle_gamma 90.00
loop_
_space_group_symop_operation_xyz
'x,y,z'
'-x,-y,-z'
'-x,y,-z'
'x,-y,z'
'x+1/2,y+1/2,z'
'-x+1/2,-y+1/2,-z'
'-x+1/2,y+1/2,-z'
'x+1/2,-y+1/2,z'
loop_
_atom_site_label
_atom_site_fract_x
_atom_site_fract_y
_atom_site_fract_z
Li1 0.0000 0.0000 0.0000
Tl1 0.0000 0.5000 0.5000
Pb1 0.2357 0.5000 0.2374
```

---

| no. | calculated volume (Å³/cell) | ΔH_f (0 K) (meV per atom) |
| --- | --- | --- |
| 1 | 222.0 | -98.0 |
| 2 | 110.8 | -75.4 |
| 3 | 347.8 | -241.8 |
| 4 | 1781.6 | -3.6 |
| 5 | 334.0 | -61.4 |
| 6 | 685.7 | -181.8 |
| 7 | 182.0 | -202.5 |
| 8 | 222.3 | -85.0 |